Computed, not measured: a PBEsol-optimized structure of GdMn2Ge2 at the SCAN level of DFT.

Calculated values
ΔH_f (0 K), eV per atom: -0.590

abc: 6.0123 6.0123 6.0123
angles: 142.19 142.19 54.54
Positions (direct):
Gd (0.0000, 0.0000, 0.0000)
Mn (0.2500, 0.7500, 0.5000)
Mn (0.7500, 0.2500, 0.5000)
Ge (0.3796, 0.3796, 0.0000)
Ge (0.6204, 0.6204, 0.0000)



Computed, not measured: a PBEsol-optimized structure of CsCuOsI2 at the SCAN level of DFT.

Calculated values
Formation energy without anion corrections, eV/atom: 1.041

abc: 5.3360 5.3360 5.7888
angles: 90.00 90.00 90.00
Positions (direct):
Cs (0.0000, 0.0000, 0.0000)
Cu (0.0000, 0.0000, 0.5000)
Os (0.5000, 0.5000, 0.0000)
I (0.0000, 0.5000, 0.5000)
I (0.5000, 0.0000, 0.5000)



Computed, not measured: a PBEsol-optimized structure of Zr3Au2 at the SCAN level of DFT.

Calculated values
ΔH_f (0 K), eV per atom: -0.564

abc: 7.5988 5.7903 8.7546
angles: 58.86 40.71 80.43
Positions (direct):
Zr (0.0001, 0.0001, 0.9999)
Zr (0.2501, 0.2501, 0.2499)
Zr (0.4500, 0.5500, 0.3423)
Zr (0.5500, 0.4500, 0.6577)
Zr (0.5923, 0.9077, 0.7000)
Zr (0.9077, 0.5923, 0.8000)
Au (0.1387, 0.7911, 0.2633)
Au (0.4431, 0.9867, 0.4589)
Au (0.7911, 0.1387, 0.8069)
Au (0.9867, 0.4431, 0.1113)



Computed, not measured: a PBEsol-optimized structure of AlCdW2 at the SCAN level of DFT.

Calculated values
Distance to the lowest polymorph of the same formula, eV per atom: 0.1263
ΔH_f (0 K), eV per atom: 0.377

abc: 3.2938 4.3332 4.5190
angles: 90.00 90.00 90.00
Positions (direct):
Al (0.0000, 0.0000, 0.0000)
Cd (0.5000, 0.5000, 0.0000)
W (0.0000, 0.5000, 0.5000)
W (0.5000, 0.0000, 0.5000)



Number 3 is which compound? Zr3Au2



Which formula does entry 2 have? CsCuOsI2